# CoCuP2 | Alexandria | meta-GGA SCAN | PBEsol geometry
# ΔH_f (0 K): 0.62 eV/f.u.
# Theoretical density: 6.450 g/cm³
# Total moment: 0.6 μB/f.u.
data_CoCuP2
_chemical_formula_sum 'Co1 Cu1 P2'
_cell_length_a 2.663
_cell_length_b 3.610
_cell_length_c 4.939
_cell_angle_alpha 90.00
_cell_angle_beta 90.00
_cell_angle_gamma 90.00
_space_group_name_H-M_alt 'P m m 2'
_space_group_IT_number 25
_space_group_name_Hall 'P 2 -2'
loop_
_atom_site_label
_atom_site_fract_x
_atom_site_fract_y
_atom_site_fract_z
_atom_site_occupancy
Co1 0.000 0.000 0.000 1
Cu1 0.500 0.500 0.337 1
P1 0.000 0.000 0.491 1
P2 0.500 0.500 0.868 1